VASP calculation (PBE) on a relaxed V3Cr2Mo2 crystal.

a = 5.0025 Å, b = 5.0025 Å, c = 6.6874 Å
α = 97.16°, β = 97.16°, γ = 34.90°
Closest atoms and distances in Å follow each position.
Sites, in units of the cell vectors:
V 0.0000 0.0000 0.0000  4 Mo 2.58, 4 Cr 2.62
V 0.1438 0.1438 0.4229  2 Cr 2.58, 2 V 2.62, 4 Mo 2.63-2.64
V 0.8562 0.8562 0.5771  2 Cr 2.58, 2 V 2.62, 4 Mo 2.63-2.64
Cr 0.2839 0.2839 0.8604  2 Cr 2.54, 2 Mo 2.58, 4 V 2.58-2.62
Cr 0.7161 0.7161 0.1396  2 Cr 2.54, 2 Mo 2.58, 4 V 2.58-2.62
Mo 0.4252 0.4252 0.2817  2 Cr 2.58, 6 V 2.58-2.64
Mo 0.5748 0.5748 0.7183  2 Cr 2.58, 6 V 2.58-2.64

## Properties
Calculated volume (Å³ per cell): 94.9
ΔH_f (0 K) (eV/atom): -0.08
Uncorrected energy (eV/atom): -9.832
Energy relative to the lowest polymorph listed for this composition (meV/atom): 0



VASP calculation (PBE) on a relaxed DyAs2Pd6 crystal.

a = 6.7225 Å, b = 6.7225 Å, c = 6.7225 Å
α = 142.84°, β = 113.82°, γ = 78.42°
Closest atoms and distances in Å follow each position.
Sites, in units of the cell vectors:
Dy 0.0000 0.0000 0.0000  8 Pd 2.89-3.03, 2 As 3.13
As 0.3005 0.3005 0.0000  8 Pd 2.58-2.59
As 0.6995 0.6995 0.0000  8 Pd 2.58-2.59
Pd 0.1291 0.8243 0.3048  3 As 2.59, 5 Pd 2.76-2.87, 1 Dy 2.89
Pd 0.2922 0.5000 0.7922  2 As 2.58, 4 Pd 2.82
Pd 0.4805 0.1757 0.3048  3 As 2.59, 5 Pd 2.76-2.87, 1 Dy 2.89
Pd 0.5195 0.8243 0.6952  3 As 2.59, 5 Pd 2.76-2.87, 1 Dy 2.89
Pd 0.7078 0.5000 0.2078  2 As 2.58, 4 Pd 2.82
Pd 0.8708 0.1757 0.6952  3 As 2.59, 5 Pd 2.76-2.87, 1 Dy 2.89

## Properties
Calculated volume (Å³ per cell): 163.8
ΔH_f (0 K) (eV/atom): -0.50
Uncorrected energy (eV/atom): -5.508



> The highest uncorrected energy belongs to which entry?

DyAs2Pd6